A geometry-optimized K4CuTe structure, computed with PBEsol.

Properties
- formation energy (no corrections) (eV/atom) = 0.259
- E (eV per atom) = -1.807

a b c (Å): 9.5747 9.5747 9.5747
angles (deg): 90.00 90.00 90.00
With the nearest neighbours (Å) after each atom.
Space group F-43m (No. 216)
One atom of each set of equivalent atoms:
K 0.1238 0.1238 0.3762  6 K 3.35-3.42
Cu 0.0000 0.0000 0.0000  12 K 3.97, 4 Te 4.15
Te 0.2500 0.2500 0.7500  12 K 3.97, 4 Cu 4.15